A plane-wave DFT calculation with PBE-GGA was carried out for a geometry-optimized TbPrMgBi structure.

```
data_TbPrMgBi
_chemical_formula_sum 'Tb4 Pr4 Mg4 Bi4'
_cell_length_a 7.792
_cell_length_b 7.792
_cell_length_c 7.792
_cell_angle_alpha 90.00
_cell_angle_beta 90.00
_cell_angle_gamma 90.00
_space_group_name_H-M_alt 'F -4 3 m'
_space_group_IT_number 216
_space_group_name_Hall 'F -4 2 3'
loop_
_atom_site_label
_atom_site_fract_x
_atom_site_fract_y
_atom_site_fract_z
Tb1 0.000 0.000 0.000
Pr1 0.000 0.000 0.500
Mg1 0.250 0.250 0.750
Bi1 0.250 0.250 0.250
```

Formation enthalpy at 0 K in eV per atom: -0.340
M_tot in μB/atom: 0.000
Total DFT energy (no corrections) in eV per atom: -4.061